Computed, not measured: a geometry-optimized Li3Mn2CoO6 structure at the PBE+U level of DFT.

a b c (Å): 3.066 5.100 7.612
angles (deg): 76.89 83.14 77.63
Space group P-1 (No. 2)
Symmetry-distinct sites (fractional):
Li  0.000  0.000  0.000 [1 per cell]
Li  0.337  0.994  0.336 [2 per cell]
Mn  0.337  0.499  0.831 [2 per cell]
Co  0.000  0.500  0.500 [1 per cell]
O  0.023  0.269  0.738 [2 per cell]
O  0.319  0.726  0.587 [2 per cell]
O  0.357  0.267  0.076 [2 per cell]

Computed properties:
uncorrected energy	-6.28	eV per atom
relative energy among the computed polymorphs	0.0188	eV per atom